1.
First-principles (PBE-GGA) data for a geometry-optimized K2NbF7 structure, as listed in Alexandria.

abc: 5.9412 12.8973 8.6823
angles: 90.00 90.33 90.00
Last column: nearest neighbours and their distance in Å.
Element x y z (fractional)
K 0.2381 0.2166 0.0533  9 F 2.70-2.95
K 0.2381 0.2834 0.5533  9 F 2.70-2.95
K 0.2394 0.5596 0.1810  9 F 2.69-2.95
K 0.2394 0.9404 0.6810  9 F 2.69-2.95
K 0.7606 0.0596 0.3190  9 F 2.69-2.95
K 0.7606 0.4404 0.8190  9 F 2.69-2.95
K 0.7619 0.7166 0.4467  9 F 2.70-2.95
K 0.7619 0.7834 0.9467  9 F 2.70-2.95
Nb 0.2678 0.6285 0.7236  7 F 1.97-2.01
Nb 0.2678 0.8715 0.2236  7 F 1.97-2.01
Nb 0.7322 0.1285 0.7764  7 F 1.97-2.01
Nb 0.7322 0.3715 0.2764  7 F 1.97-2.01
F 0.0390 0.6063 0.8889  1 Nb 2.00
F 0.0390 0.8937 0.3889  1 Nb 2.00
F 0.0453 0.7455 0.7025  1 Nb 2.01
F 0.0453 0.7545 0.2025  1 Nb 2.01
F 0.1780 0.6210 0.5055  1 Nb 1.97
F 0.1780 0.8790 0.0055  1 Nb 1.97
F 0.2117 0.0230 0.2157  1 Nb 1.98
F 0.2117 0.4770 0.7157  1 Nb 1.98
F 0.4435 0.0771 0.8694  1 Nb 2.01
F 0.4435 0.4229 0.3694  1 Nb 2.01
F 0.4600 0.7437 0.2092  1 Nb 2.01
F 0.4600 0.7563 0.7092  1 Nb 2.01
F 0.4608 0.6103 0.9110  1 Nb 2.00
F 0.4608 0.8897 0.4110  1 Nb 2.00
F 0.5392 0.1103 0.5890  1 Nb 2.00
F 0.5392 0.3897 0.0890  1 Nb 2.00
F 0.5400 0.2437 0.2908  1 Nb 2.01
F 0.5400 0.2563 0.7908  1 Nb 2.01
F 0.5565 0.5771 0.6306  1 Nb 2.01
F 0.5565 0.9229 0.1306  1 Nb 2.01
F 0.7883 0.5230 0.2843  1 Nb 1.98
F 0.7883 0.9770 0.7843  1 Nb 1.98
F 0.8220 0.1210 0.9945  1 Nb 1.97
F 0.8220 0.3790 0.4945  1 Nb 1.97
F 0.9547 0.2455 0.7975  1 Nb 2.01
F 0.9547 0.2545 0.2975  1 Nb 2.01
F 0.9610 0.1063 0.6111  1 Nb 2.00
F 0.9610 0.3937 0.1111  1 Nb 2.00

Results
**Polymorph energy (0 for the lowest one)**: 0 meV/atom
**Formation energy (no corrections)**: -3085 meV per atom
**Total energy**: -5.6219 eV/atom

=====

2.
First-principles (PBE-GGA) data for a geometry-optimized MnNi6Pt5 structure, as listed in Alexandria.

abc: 6.0103 6.0103 7.3296
angles: 90.00 90.00 143.13
Last column: nearest neighbours and their distance in Å.
Element x y z (fractional)
Mn 0.0000 0.0000 0.0000  8 Ni 2.62-2.64, 4 Pt 2.64
Ni 0.1664 0.8336 0.2469  1 Mn 2.62, 7 Pt 2.63-2.68, 4 Ni 2.69
Ni 0.1664 0.8336 0.7531  1 Mn 2.62, 7 Pt 2.63-2.68, 4 Ni 2.69
Ni 0.5000 0.5000 0.2500  6 Pt 2.59-2.64, 2 Mn 2.64, 4 Ni 2.69
Ni 0.5000 0.5000 0.7500  6 Pt 2.59-2.64, 2 Mn 2.64, 4 Ni 2.69
Ni 0.8336 0.1664 0.2469  1 Mn 2.62, 7 Pt 2.63-2.68, 4 Ni 2.69
Ni 0.8336 0.1664 0.7531  1 Mn 2.62, 7 Pt 2.63-2.68, 4 Ni 2.69
Pt 0.0000 0.0000 0.5000  8 Ni 2.64-2.65, 4 Pt 2.68
Pt 0.3337 0.6663 0.5000  8 Ni 2.64-2.66, 4 Pt 2.68-2.69
Pt 0.3391 0.6609 0.0000  8 Ni 2.59-2.68, 2 Mn 2.64, 2 Pt 2.78
Pt 0.6609 0.3391 0.0000  8 Ni 2.59-2.68, 2 Mn 2.64, 2 Pt 2.78
Pt 0.6663 0.3337 0.5000  8 Ni 2.64-2.66, 4 Pt 2.68-2.69

Results
**Energy of formation**: -131.4 meV/atom
**Total energy**: -6.3032 eV/atom

=====

Copy entry 1 word for word.
First-principles (PBE-GGA) data for a geometry-optimized K2NbF7 structure, as listed in Alexandria.

abc: 5.9412 12.8973 8.6823
angles: 90.00 90.33 90.00
Last column: nearest neighbours and their distance in Å.
Element x y z (fractional)
K 0.2381 0.2166 0.0533  9 F 2.70-2.95
K 0.2381 0.2834 0.5533  9 F 2.70-2.95
K 0.2394 0.5596 0.1810  9 F 2.69-2.95
K 0.2394 0.9404 0.6810  9 F 2.69-2.95
K 0.7606 0.0596 0.3190  9 F 2.69-2.95
K 0.7606 0.4404 0.8190  9 F 2.69-2.95
K 0.7619 0.7166 0.4467  9 F 2.70-2.95
K 0.7619 0.7834 0.9467  9 F 2.70-2.95
Nb 0.2678 0.6285 0.7236  7 F 1.97-2.01
Nb 0.2678 0.8715 0.2236  7 F 1.97-2.01
Nb 0.7322 0.1285 0.7764  7 F 1.97-2.01
Nb 0.7322 0.3715 0.2764  7 F 1.97-2.01
F 0.0390 0.6063 0.8889  1 Nb 2.00
F 0.0390 0.8937 0.3889  1 Nb 2.00
F 0.0453 0.7455 0.7025  1 Nb 2.01
F 0.0453 0.7545 0.2025  1 Nb 2.01
F 0.1780 0.6210 0.5055  1 Nb 1.97
F 0.1780 0.8790 0.0055  1 Nb 1.97
F 0.2117 0.0230 0.2157  1 Nb 1.98
F 0.2117 0.4770 0.7157  1 Nb 1.98
F 0.4435 0.0771 0.8694  1 Nb 2.01
F 0.4435 0.4229 0.3694  1 Nb 2.01
F 0.4600 0.7437 0.2092  1 Nb 2.01
F 0.4600 0.7563 0.7092  1 Nb 2.01
F 0.4608 0.6103 0.9110  1 Nb 2.00
F 0.4608 0.8897 0.4110  1 Nb 2.00
F 0.5392 0.1103 0.5890  1 Nb 2.00
F 0.5392 0.3897 0.0890  1 Nb 2.00
F 0.5400 0.2437 0.2908  1 Nb 2.01
F 0.5400 0.2563 0.7908  1 Nb 2.01
F 0.5565 0.5771 0.6306  1 Nb 2.01
F 0.5565 0.9229 0.1306  1 Nb 2.01
F 0.7883 0.5230 0.2843  1 Nb 1.98
F 0.7883 0.9770 0.7843  1 Nb 1.98
F 0.8220 0.1210 0.9945  1 Nb 1.97
F 0.8220 0.3790 0.4945  1 Nb 1.97
F 0.9547 0.2455 0.7975  1 Nb 2.01
F 0.9547 0.2545 0.2975  1 Nb 2.01
F 0.9610 0.1063 0.6111  1 Nb 2.00
F 0.9610 0.3937 0.1111  1 Nb 2.00

Results
**Polymorph energy (0 for the lowest one)**: 0 meV/atom
**Formation energy (no corrections)**: -3085 meV per atom
**Total energy**: -5.6219 eV/atom